PBE VSn2Ru, optimized geometry; size of the total moment = 2.79 μB per formula unit; density of states at the Fermi level = 1.56 states/eV/f.u.; raw total energy = -6.556 eV per atom; symmetry = No. 225; formation energy from the elements = 0.044 eV/atom; ΔE to the lowest computed polymorph = 0.0000 eV per atom
1.0
-4.092 -1.906 -1.084
-3.890 1.564 1.994
-3.088 2.400 -2.501
Ru Sn V
1 2 1
direct
0.500 0.500 0.500
0.250 0.250 0.250
0.750 0.750 0.750
0.000 0.000 0.000